A plane-wave DFT calculation with GGA+U was carried out for a geometry-optimized KCoCuF5 structure.

Lattice parameters (Å, degrees): 5.9623 5.9623 7.6342 99.74 99.74 115.13
Last column: nearest neighbours and their distance in Å.
Fractional coordinates of all 16 atoms:
1 Cu 0.6740 0.3260 0.2500  4 F 1.93-1.94
2 Cu 0.3260 0.6740 0.7500  4 F 1.93-1.94
3 F 0.2497 0.8556 0.5804  1 Cu 1.94, 1 Co 2.07
4 F 0.7144 0.6180 0.4308  1 Cu 1.93, 1 Co 2.09
5 F 0.7503 0.1444 0.4196  1 Cu 1.94, 1 Co 2.07
6 F 0.9406 0.0594 0.7500  2 Co 2.00
7 F 0.0594 0.9406 0.2500  2 Co 2.00
8 F 0.3820 0.2856 0.0692  1 Cu 1.93, 1 Co 2.09
9 F 0.8556 0.2497 0.0804  1 Cu 1.94, 1 Co 2.07
10 F 0.6180 0.7144 0.9308  1 Cu 1.93, 1 Co 2.09
11 F 0.2856 0.3820 0.5692  1 Cu 1.93, 1 Co 2.09
12 F 0.1444 0.7503 0.9196  1 Cu 1.94, 1 Co 2.07
13 K 0.3267 0.6733 0.2500  7 F 2.66-2.76
14 K 0.6733 0.3267 0.7500  7 F 2.66-2.76
15 Co 0.0000 0.0000 0.5000  6 F 2.00-2.09
16 Co 0.0000 0.0000 0.0000  6 F 2.00-2.09

Calculated values
DOS(E_F)   0.0884 states/eV/atom
Total magnetization   8.0 μB per cell
Raw total energy   -4.5094 eV per atom
SG   No. 15